{
  "formula": "CaCoCl2",
  "functional": "PBE",
  "state": "relaxed",
  "e_above_lowest_polymorph_mev_per_atom": 214.9,
  "total_magnetization_mub_per_cell": 1.06,
  "raw_formation_energy_ev_per_atom": -0.713,
  "sg": "P4mm (99)",
  "crystal_system": "tetragonal",
  "cell": [[-1.9739, -3.1230, 0.9692], [2.7120, -2.1965, -1.5545], [2.6996, -0.1701, 4.9501]],
  "species": ["Ca", "Co", "Cl", "Cl"],
  "frac_coords": [[0.5000, 0.5000, 0.7899], [0.0000, 0.0000, 0.5028], [0.0000, 0.0000, 0.8916], [0.5000, 0.5000, 0.3157]]
}

---

{
  "formula": "Pm4NdPd2",
  "functional": "PBE",
  "state": "relaxed",
  "ef_kcal_per_mol_atoms": -6.9,
  "e_above_lowest_polymorph_mev_per_atom": 69.9,
  "total_magnetization_mub_per_cell": 0.00,
  "sg": "P2_1/m (11)",
  "crystal_system": "monoclinic",
  "cell": [[-3.6759, 4.1169, 3.6591], [-3.5226, -6.3422, 3.5969], [6.6134, 2.2583, 4.1030]],
  "species": ["Pm", "Pm", "Pm", "Pm", "Pm", "Pm", "Pm", "Pm", "Nd", "Nd", "Pd", "Pd", "Pd", "Pd"],
  "frac_coords": [[0.4999, 0.2985, 0.7983], [0.7500, 0.0507, 0.0750], [0.2500, 0.9493, 0.9250], [0.0001, 0.2985, 0.7983], [0.2500, 0.5746, 0.5493], [0.9999, 0.7015, 0.2017], [0.5001, 0.7015, 0.2017], [0.7500, 0.4254, 0.4507], [0.7500, 0.8556, 0.6447], [0.2500, 0.1444, 0.3553], [0.7500, 0.6348, 0.8659], [0.2500, 0.3652, 0.1341], [0.2500, 0.9323, 0.5682], [0.7500, 0.0677, 0.4318]]
}

---

{
  "formula": "Ac2Hg4Pb5",
  "functional": "PBE",
  "state": "relaxed",
  "ef_kcal_per_mol_atoms": -4.7,
  "total_magnetization_mub_per_cell": 0.00,
  "sg": "C2/m (12)",
  "crystal_system": "monoclinic",
  "cell": [[6.4418, 0.0000, 0.0000], [3.2209, 7.3842, -0.2554], [3.2209, 1.4324, 7.1565]],
  "species": ["Ac", "Ac", "Hg", "Hg", "Hg", "Hg", "Pb", "Pb", "Pb", "Pb", "Pb"],
  "frac_coords": [[0.3073, 0.6942, 0.6913], [0.6927, 0.3058, 0.3087], [0.2492, 0.0910, 0.4107], [0.7508, 0.9090, 0.5893], [0.7509, 0.5878, 0.9104], [0.2491, 0.4122, 0.0896], [0.2458, 0.1806, 0.8212], [0.7542, 0.8194, 0.1788], [0.0000, 0.5000, 0.5000], [0.7524, 0.1806, 0.8212], [0.2476, 0.8194, 0.1788]]
}

---

{
  "formula": "YbPrSe2",
  "functional": "PBE",
  "state": "relaxed",
  "total_magnetization_mub_per_cell": 0.00,
  "raw_formation_energy_ev_per_atom": -1.918,
  "sg": "R-3m (166)",
  "crystal_system": "trigonal",
  "cell": [[-6.9890, 1.3472, -1.7587], [-6.7567, -2.7255, -0.8205], [-6.9793, 0.1185, 2.2427]],
  "species": ["Pr", "Yb", "Se", "Se"],
  "frac_coords": [[0.0000, 0.0000, 0.0000], [0.5000, 0.5000, 0.5000], [0.2458, 0.2458, 0.2458], [0.7542, 0.7542, 0.7542]]
}

---

{
  "formula": "SmAsF",
  "functional": "PBE",
  "state": "relaxed",
  "e_above_lowest_polymorph_mev_per_atom": 414.1,
  "total_magnetization_mub_per_cell": 0.00,
  "raw_formation_energy_ev_per_atom": -1.882,
  "sg": "I4mm (107)",
  "crystal_system": "tetragonal",
  "cell": [[-0.0154, -1.0548, 3.1534], [-2.9496, -1.4516, -0.4999], [3.9197, -3.1911, -2.8015]],
  "species": ["As", "Sm", "F"],
  "frac_coords": [[0.0067, 0.0067, 0.0133], [0.7085, 0.7085, 0.4170], [0.2848, 0.2848, 0.5696]]
}

---

{
  "formula": "CuPd3Se",
  "functional": "PBE",
  "state": "relaxed",
  "e_above_lowest_polymorph_mev_per_atom": 0.0,
  "total_magnetization_mub_per_cell": 0.00,
  "raw_formation_energy_ev_per_atom": -0.083,
  "sg": "Pmn2_1 (31)",
  "crystal_system": "orthorhombic",
  "cell": [[4.4770, -0.0001, -0.0001], [0.0001, 6.1970, -0.0007], [0.0003, 0.0006, 5.9740]],
  "species": ["Cu", "Cu", "Pd", "Pd", "Pd", "Pd", "Pd", "Pd", "Se", "Se"],
  "frac_coords": [[0.4256, 0.2992, 0.7008], [0.9255, 0.0537, 0.2008], [0.4170, 0.3281, 0.2008], [0.4171, 0.9479, 0.9614], [0.9171, 0.4049, 0.4614], [0.9169, 0.0246, 0.7008], [0.9172, 0.4049, 0.9401], [0.4171, 0.9479, 0.4401], [0.2014, 0.6694, 0.7007], [0.7014, 0.6833, 0.2007]]
}

---

{
  "formula": "BaInCoGe",
  "functional": "PBE",
  "state": "relaxed",
  "ef_kcal_per_mol_atoms": -7.1,
  "total_magnetization_mub_per_cell": 0.00,
  "sg": "P4/nmm (129)",
  "crystal_system": "tetragonal",
  "cell": [[-2.1898, 1.9210, -2.9435], [-3.0603, -2.7478, 0.4835], [-5.1558, 7.2495, 8.5668]],
  "species": ["Ba", "Ba", "In", "In", "Co", "Co", "Ge", "Ge"],
  "frac_coords": [[0.7500, 0.7500, 0.2310], [0.2500, 0.2500, 0.7690], [0.2500, 0.7500, 0.5000], [0.7500, 0.2500, 0.5000], [0.7500, 0.2500, 0.0000], [0.2500, 0.7500, 0.0000], [0.7500, 0.7500, 0.9065], [0.2500, 0.2500, 0.0935]]
}

---

{
  "formula": "Mg2InAg",
  "functional": "PBE",
  "state": "relaxed",
  "ef_kcal_per_mol_atoms": -3.2,
  "total_magnetization_mub_per_cell": 0.00,
  "sg": "Pmmm (47)",
  "crystal_system": "orthorhombic",
  "cell": [[-3.5229, -0.0910, 1.8600], [1.3679, -1.4790, 2.5185], [2.6390, 4.2624, 5.2066]],
  "species": ["Mg", "Mg", "Ag", "In"],
  "frac_coords": [[0.0000, 0.9835, 0.0169], [0.0000, 0.5165, 0.4831], [0.5000, 0.2500, 0.2500], [0.5000, 0.7500, 0.7500]]
}

---

{
  "formula": "ZrFe9W2",
  "functional": "PBE",
  "state": "relaxed",
  "ef_kcal_per_mol_atoms": -0.7,
  "total_magnetization_mub_per_cell": 12.86,
  "sg": "R-3m (166)",
  "crystal_system": "trigonal",
  "cell": [[-2.3923, -4.1054, 0.2398], [2.3402, -4.0779, 0.7273], [-0.8142, -1.8145, 8.0066]],
  "species": ["Zr", "Fe", "Fe", "Fe", "Fe", "Fe", "Fe", "Fe", "Fe", "Fe", "W", "W"],
  "frac_coords": [[0.0000, 0.0000, 0.0000], [0.6662, 0.6662, 0.0013], [0.3338, 0.3338, 0.9987], [0.5000, 0.5000, 0.5000], [0.4103, 0.4103, 0.2606], [0.9188, 0.4103, 0.2606], [0.4103, 0.9188, 0.2606], [0.5897, 0.5897, 0.7394], [0.5897, 0.0812, 0.7394], [0.0812, 0.5897, 0.7394], [0.8570, 0.8570, 0.4291], [0.1430, 0.1430, 0.5709]]
}

---

{
  "formula": "Zr2BeAl",
  "functional": "PBE",
  "state": "relaxed",
  "ef_kcal_per_mol_atoms": -5.6,
  "e_above_lowest_polymorph_mev_per_atom": 0.0,
  "total_magnetization_mub_per_cell": 0.01,
  "sg": "Amm2 (38)",
  "crystal_system": "orthorhombic",
  "cell": [[4.0245, 0.0000, 0.0000], [0.0000, 3.3821, 0.0016], [0.0000, 1.6915, 5.3401]],
  "species": ["Be", "Al", "Zr", "Zr"],
  "frac_coords": [[0.5000, 0.5573, 0.7594], [0.0000, 0.6870, 0.5015], [0.0000, 0.9669, 0.9410], [0.5000, 0.2888, 0.2980]]
}

---

{
  "formula": "YTa2Sb",
  "functional": "PBE",
  "state": "relaxed",
  "total_magnetization_mub_per_cell": 0.00,
  "raw_formation_energy_ev_per_atom": 0.110,
  "sg": "Imm2 (44)",
  "crystal_system": "orthorhombic",
  "cell": [[5.6095, -0.0013, -0.0004], [2.1874, 5.1655, 0.0004], [-3.4621, -3.2410, 2.9962]],
  "species": ["Sb", "Ta", "Ta", "Y"],
  "frac_coords": [[0.7596, 0.2596, 0.5000], [0.0168, 0.0168, 0.0000], [0.2333, 0.7333, 0.5000], [0.4903, 0.4903, 0.0000]]
}

---

{
  "formula": "Y2PbBr",
  "functional": "PBE",
  "state": "relaxed",
  "e_above_lowest_polymorph_mev_per_atom": 188.1,
  "total_magnetization_mub_per_cell": 1.14,
  "raw_formation_energy_ev_per_atom": -0.581,
  "sg": "R3m (160)",
  "crystal_system": "trigonal",
  "cell": [[-2.2433, -8.1582, -7.9858], [1.1492, -7.2384, -9.0358], [0.6612, -9.7123, -6.3714]],
  "species": ["Pb", "Y", "Y", "Br"],
  "frac_coords": [[0.7406, 0.7406, 0.7406], [0.9946, 0.9946, 0.9946], [0.2445, 0.2445, 0.2445], [0.5203, 0.5203, 0.5203]]
}

---

{
  "formula": "MgReNiRu2",
  "functional": "PBE",
  "state": "relaxed",
  "ef_kcal_per_mol_atoms": 36.9,
  "total_magnetization_mub_per_cell": 1.68,
  "sg": "P4/mmm (123)",
  "crystal_system": "tetragonal",
  "cell": [[-1.9104, 4.0862, 1.0340], [-4.1624, -2.2853, 1.3411], [1.5895, -0.3530, 4.3318]],
  "species": ["Re", "Mg", "Ni", "Ru", "Ru"],
  "frac_coords": [[0.0000, 0.0000, 0.0000], [0.0000, 0.5000, 0.0000], [0.5000, 0.5000, 0.5000], [0.0000, 0.0000, 0.5000], [0.5000, 0.0000, 0.0000]]
}

---

{
  "formula": "HoV6Ga6",
  "functional": "PBE",
  "state": "relaxed",
  "ef_kcal_per_mol_atoms": -5.2,
  "total_magnetization_mub_per_cell": 0.00,
  "sg": "Immm (71)",
  "crystal_system": "orthorhombic",
  "cell": [[4.8094, 0.0000, 1.9223], [2.3953, 6.3381, 0.9846], [0.0528, -0.1265, 6.8455]],
  "species": ["Ho", "V", "V", "V", "V", "V", "V", "Ga", "Ga", "Ga", "Ga", "Ga", "Ga"],
  "frac_coords": [[0.0000, 0.0000, 0.0000], [0.0000, 0.5000, 0.0000], [0.5000, 0.5000, 0.0000], [0.0000, 0.0000, 0.5000], [0.5000, 0.0000, 0.5000], [0.5000, 0.7584, 0.2416], [0.5000, 0.2416, 0.7584], [0.3441, 0.6559, 0.6559], [0.6559, 0.3441, 0.3441], [0.0000, 0.3168, 0.6832], [0.0000, 0.6832, 0.3168], [0.3169, 0.1831, 0.1831], [0.6831, 0.8169, 0.8169]]
}

---

{
  "formula": "La3GeTe6",
  "functional": "PBE",
  "state": "relaxed",
  "total_magnetization_mub_per_cell": 0.00,
  "raw_formation_energy_ev_per_atom": -1.174,
  "sg": "Cmc2_1 (36)",
  "crystal_system": "orthorhombic",
  "cell": [[-6.8722, -2.5547, -2.0488], [-1.8587, -2.5692, 9.4380], [-3.3782, 9.3597, -0.3392]],
  "species": ["La", "La", "La", "La", "La", "La", "Ge", "Ge", "Te", "Te", "Te", "Te", "Te", "Te", "Te", "Te", "Te", "Te", "Te", "Te"],
  "frac_coords": [[0.4829, 0.9152, 0.7205], [0.9829, 0.7205, 0.9152], [0.3830, 0.4016, 0.5984], [0.8830, 0.5984, 0.4016], [0.9829, 0.0848, 0.2795], [0.4829, 0.2795, 0.0848], [0.0274, 0.1990, 0.8010], [0.5274, 0.8010, 0.1990], [0.1825, 0.6951, 0.6283], [0.6825, 0.6283, 0.6951], [0.2045, 0.4355, 0.9072], [0.7045, 0.9072, 0.4355], [0.1766, 0.0346, 0.9654], [0.6586, 0.2208, 0.7792], [0.1586, 0.7792, 0.2208], [0.6766, 0.9654, 0.0346], [0.2045, 0.0928, 0.5645], [0.7045, 0.5645, 0.0928], [0.1825, 0.3717, 0.3049], [0.6825, 0.3049, 0.3717]]
}

---

{
  "formula": "Ac12Mg3Ir5",
  "functional": "PBE",
  "state": "relaxed",
  "ef_kcal_per_mol_atoms": -3.8,
  "total_magnetization_mub_per_cell": 0.00,
  "sg": "Ia-3d (230)",
  "crystal_system": "cubic",
  "cell": [[-3.2444, -9.3540, -12.8134], [15.9078, 2.9577, 0.6341], [-4.6220, -7.5932, 13.5347]],
  "species": ["Mg", "Mg", "Mg", "Mg", "Mg", "Mg", "Mg", "Mg", "Mg", "Mg", "Mg", "Mg", "Ir", "Ir", "Ir", "Ir", "Ir", "Ir", "Ir", "Ir", "Ir", "Ir", "Ir", "Ir", "Ir", "Ir", "Ir", "Ir", "Ir", "Ir", "Ir", "Ir", "Ac", "Ac", "Ac", "Ac", "Ac", "Ac", "Ac", "Ac", "Ac", "Ac", "Ac", "Ac", "Ac", "Ac", "Ac", "Ac", "Ac", "Ac", "Ac", "Ac", "Ac", "Ac", "Ac", "Ac", "Ac", "Ac", "Ac", "Ac", "Ac", "Ac", "Ac", "Ac", "Ac", "Ac", "Ac", "Ac", "Ac", "Ac", "Ac", "Ac", "Ac", "Ac", "Ac", "Ac", "Ac", "Ac", "Ac", "Ac"],
  "frac_coords": [[0.7500, 0.3750, 0.1250], [0.8750, 0.7500, 0.1250], [0.3750, 0.7500, 0.6250], [0.2500, 0.1250, 0.3750], [0.8750, 0.1250, 0.2500], [0.3750, 0.6250, 0.2500], [0.6250, 0.3750, 0.7500], [0.1250, 0.8750, 0.7500], [0.7500, 0.8750, 0.6250], [0.6250, 0.2500, 0.3750], [0.1250, 0.2500, 0.8750], [0.2500, 0.6250, 0.8750], [0.1250, 0.3750, 0.2500], [0.0000, 0.5000, 0.0000], [0.0000, 0.0000, 0.0000], [0.3750, 0.2500, 0.1250], [0.5000, 0.0000, 0.5000], [0.5000, 0.5000, 0.0000], [0.1250, 0.7500, 0.3750], [0.7500, 0.1250, 0.8750], [0.7500, 0.6250, 0.3750], [0.3750, 0.1250, 0.7500], [0.6250, 0.8750, 0.2500], [0.5000, 0.5000, 0.5000], [0.5000, 0.0000, 0.0000], [0.0000, 0.0000, 0.5000], [0.2500, 0.3750, 0.6250], [0.2500, 0.8750, 0.1250], [0.0000, 0.5000, 0.5000], [0.8750, 0.2500, 0.6250], [0.6250, 0.7500, 0.8750], [0.8750, 0.6250, 0.7500], [0.7024, 0.1159, 0.0241], [0.3217, 0.5241, 0.4083], [0.9759, 0.3841, 0.2976], [0.5241, 0.2024, 0.1159], [0.5865, 0.7024, 0.6783], [0.9759, 0.5917, 0.1783], [0.3217, 0.7976, 0.4135], [0.0917, 0.9135, 0.1159], [0.5917, 0.9759, 0.6783], [0.7024, 0.5865, 0.1783], [0.7976, 0.4759, 0.3841], [0.8217, 0.9083, 0.0241], [0.1159, 0.7024, 0.5241], [0.3841, 0.4083, 0.0865], [0.0865, 0.9083, 0.3841], [0.4135, 0.1159, 0.5917], [0.0865, 0.1783, 0.2024], [0.4759, 0.6783, 0.0917], [0.8217, 0.9135, 0.2976], [0.1159, 0.4135, 0.0917], [0.3841, 0.9759, 0.7976], [0.5917, 0.6159, 0.4135], [0.9083, 0.8217, 0.5241], [0.7976, 0.3217, 0.9135], [0.4083, 0.3841, 0.5865], [0.0917, 0.1783, 0.4759], [0.2024, 0.6783, 0.0865], [0.1783, 0.0865, 0.7024], [0.6159, 0.0241, 0.2024], [0.8841, 0.5865, 0.9083], [0.5241, 0.3217, 0.9083], [0.5865, 0.8841, 0.4083], [0.9135, 0.8217, 0.7976], [0.9135, 0.0917, 0.6159], [0.8841, 0.2976, 0.4759], [0.1783, 0.0917, 0.9759], [0.6159, 0.5917, 0.9135], [0.4083, 0.0241, 0.3217], [0.2976, 0.4135, 0.8217], [0.2024, 0.5241, 0.6159], [0.9083, 0.0865, 0.8841], [0.6783, 0.2024, 0.5865], [0.4759, 0.7976, 0.8841], [0.0241, 0.4083, 0.8217], [0.4135, 0.2976, 0.3217], [0.0241, 0.6159, 0.7024], [0.6783, 0.4759, 0.5917], [0.2976, 0.8841, 0.9759]]
}

---

{
  "formula": "Li2PuAg3O6",
  "functional": "PBE",
  "state": "relaxed",
  "total_magnetization_mub_per_cell": 0.96,
  "raw_formation_energy_ev_per_atom": -1.455,
  "sg": "C2/m (12)",
  "crystal_system": "monoclinic",
  "cell": [[5.3740, -0.0998, 0.8047], [-2.7722, 4.6049, 0.8047], [-0.0675, -0.1168, 6.5713]],
  "species": ["Li", "Li", "Pu", "Ag", "Ag", "Ag", "O", "O", "O", "O", "O", "O"],
  "frac_coords": [[0.3332, 0.6668, 0.0000], [0.6668, 0.3332, 0.0000], [0.0000, 0.0000, 0.0000], [0.1625, 0.8375, 0.5000], [0.8375, 0.1625, 0.5000], [0.5000, 0.5000, 0.5000], [0.0584, 0.7413, 0.8293], [0.6279, 0.6279, 0.1707], [0.9416, 0.2587, 0.1707], [0.7413, 0.0584, 0.8293], [0.3721, 0.3721, 0.8293], [0.2587, 0.9416, 0.1707]]
}

---

{
  "formula": "YW3",
  "functional": "PBE",
  "state": "relaxed",
  "ef_kcal_per_mol_atoms": 11.1,
  "e_above_lowest_polymorph_mev_per_atom": 95.9,
  "total_magnetization_mub_per_cell": 0.00,
  "sg": "P2/m (10)",
  "crystal_system": "monoclinic",
  "cell": [[-1.2280, -2.4380, -0.7851], [0.1229, -1.4476, 4.3030], [-5.5589, 1.4433, 0.6443]],
  "species": ["W", "W", "W", "Y"],
  "frac_coords": [[0.0196, 0.0000, 0.0251], [0.4804, 0.0000, 0.4749], [0.2500, 0.5000, 0.2500], [0.7500, 0.5000, 0.7500]]
}

---

{
  "formula": "TcHg2Rh",
  "functional": "PBE",
  "state": "relaxed",
  "ef_kcal_per_mol_atoms": 12.5,
  "e_above_lowest_polymorph_mev_per_atom": 355.7,
  "total_magnetization_mub_per_cell": 1.91,
  "sg": "I-4m2 (119)",
  "crystal_system": "tetragonal",
  "cell": [[-4.6085, -1.8365, -0.1263], [-0.2982, -2.6763, -4.1684], [3.3761, -0.1612, 3.6336]],
  "species": ["Hg", "Hg", "Rh", "Tc"],
  "frac_coords": [[0.0000, 0.0000, 0.0000], [0.2500, 0.7500, 0.5000], [0.5000, 0.5000, 0.0000], [0.7500, 0.2500, 0.5000]]
}

---

{
  "formula": "Na4Ce3MnS8",
  "functional": "PBE",
  "state": "relaxed",
  "total_magnetization_mub_per_cell": 7.02,
  "raw_formation_energy_ev_per_atom": -1.518,
  "sg": "R-3m (166)",
  "crystal_system": "trigonal",
  "cell": [[8.0651, 0.0001, -0.0001], [0.0001, 8.1138, 0.0306], [-4.0327, -4.0304, 5.7047]],
  "species": ["Na", "Na", "Na", "Na", "Ce", "Ce", "Ce", "Mn", "S", "S", "S", "S", "S", "S", "S", "S"],
  "frac_coords": [[0.5000, 0.0000, 0.0000], [0.5000, 0.0000, 0.5000], [0.0000, 0.0000, 0.0000], [0.0000, 0.0000, 0.5000], [0.5000, 0.5000, 0.0000], [0.5000, 0.5000, 0.5000], [0.0000, 0.5000, 0.5000], [0.0000, 0.5000, 0.0000], [0.2363, 0.7245, 0.9882], [0.2363, 0.7245, 0.4727], [0.2549, 0.2647, 0.5098], [0.7519, 0.7245, 0.9882], [0.2481, 0.2755, 0.0118], [0.7451, 0.7353, 0.4902], [0.7637, 0.2755, 0.5273], [0.7637, 0.2755, 0.0118]]
}

---

{
  "formula": "BeAg2Ru",
  "functional": "PBE",
  "state": "relaxed",
  "ef_kcal_per_mol_atoms": 9.9,
  "total_magnetization_mub_per_cell": 0.00,
  "sg": "Pmmm (47)",
  "crystal_system": "orthorhombic",
  "cell": [[-1.9207, 0.6881, 2.6824], [2.7136, -1.7689, 2.3969], [2.0443, 3.7991, 0.4893]],
  "species": ["Ru", "Ag", "Ag", "Be"],
  "frac_coords": [[0.0000, 0.5000, 0.5000], [0.0000, 0.0000, 0.0000], [0.5000, 0.5000, 0.0000], [0.5000, 0.0000, 0.5000]]
}